Compound: MgPaHgIr
Source: Alexandria via LeMat-Bulk
Functional: PBE
Structure: relaxed

Cell and atoms, written as POSCAR:
```
MgPaHgIr
1.0
4.911 0.000 0.000
2.455 4.253 0.000
2.455 1.418 4.009
Mg Pa Hg Ir
1 1 1 1
direct
0.750 0.750 0.750 Mg
0.250 0.250 0.250 Pa
0.500 0.500 0.500 Hg
0.000 0.000 0.000 Ir
```

Computed properties:
Its space group is No. 216. The value obtained for the theoretical density is 12.854 Mg/m³.

Compound: TmPu2Ta
Source: Alexandria via LeMat-Bulk
Functional: PBE
Structure: relaxed

Cell and atoms, written as POSCAR:
```
TmPu2Ta
1.0
-0.454 -1.957 -2.542
0.063 -3.215 0.399
-10.709 -1.700 1.157
Ta Tm Pu
1 1 2
direct
0.000 0.000 0.000 Ta
0.500 0.500 0.500 Tm
0.743 0.743 0.771 Pu
0.257 0.257 0.229 Pu
```

Computed properties:
Its space group is No. 166. The value obtained for the theoretical density is 14.243 Mg/m³.

| no. | final energy (Ry/atom) |
| --- | --- |
| 1 | -0.3895 |
| 2 | -0.8031 |